No. 1
# KYPuBr6 | the Alexandria database | GGA-PBE | optimized geometry
data_KYPuBr6
_chemical_formula_sum 'K2 Y2 Pu2 Br12'
_cell_length_a 7.4796
_cell_length_b 7.4796
_cell_length_c 14.6023
_cell_angle_alpha 90.00
_cell_angle_beta 90.00
_cell_angle_gamma 120.00
_symmetry_space_group_name_H-M 'P -3 1 c'
_symmetry_Int_Tables_number 163
_symmetry_space_group_name_Hall '-P 3 2c'
loop_
_atom_site_label
_atom_site_type_symbol
_atom_site_fract_x
_atom_site_fract_y
_atom_site_fract_z
_atom_site_occupancy
K1 K 0.0000 0.0000 0.0000 1
Y1 Y 0.3333 0.6667 0.2500 1
Pu1 Pu 0.3333 0.6667 0.7500 1
Br1 Br 0.0157 0.3706 0.1365 1
# Formation energy from raw total energies ... -165.1 kJ/mol of atoms


No. 2
# Ca3AcTl | the Alexandria database | GGA-PBE | optimized geometry
data_Ca3AcTl
_chemical_formula_sum 'Ca6 Ac2 Tl2'
_cell_length_a 7.744
_cell_length_b 5.592
_cell_length_c 8.859
_cell_angle_alpha 90.00
_cell_angle_beta 96.96
_cell_angle_gamma 90.00
_symmetry_space_group_name_H-M 'P 1 21/m 1'
_symmetry_Int_Tables_number 11
loop_
_symmetry_equiv_pos_as_xyz
'x,y,z'
'-x,-y,-z'
'-x,y+1/2,-z'
'x,-y+1/2,z'
loop_
_atom_site_label
_atom_site_type_symbol
_atom_site_fract_x
_atom_site_fract_y
_atom_site_fract_z
_atom_site_occupancy
Ca1 Ca 0.065 0.250 0.340 1
Ca2 Ca 0.190 0.750 0.065 1
Ca3 Ca 0.351 0.750 0.475 1
Ac1 Ac 0.299 0.250 0.801 1
Tl1 Tl 0.436 0.250 0.192 1
# Energy of formation from the pure elements ... -74 kJ/mol of formula units


No. 3
# MgIr2Rh2 | the Alexandria database | GGA-PBE | optimized geometry
data_MgIr2Rh2
_chemical_formula_sum 'Mg2 Ir4 Rh4'
_cell_length_a 3.712
_cell_length_b 3.712
_cell_length_c 12.196
_cell_angle_alpha 90.00
_cell_angle_beta 90.00
_cell_angle_gamma 90.00
_symmetry_space_group_name_H-M 'I 4/m m m'
_symmetry_Int_Tables_number 139
_symmetry_space_group_name_Hall '-I 4 2'
loop_
_atom_site_label
_atom_site_type_symbol
_atom_site_fract_x
_atom_site_fract_y
_atom_site_fract_z
_atom_site_occupancy
Mg1 Mg 0.000 0.000 0.000 1
Ir1 Ir 0.000 0.000 0.401 1
Rh1 Rh 0.000 0.500 0.250 1
# Energy of formation from the pure elements ... 79 kJ/mol of formula units
# Energy above the lowest structure with this stoichiometry ... 147 meV/atom


No. 4
# SmPaAs | the Alexandria database | GGA-PBE | optimized geometry
data_SmPaAs
_chemical_formula_sum 'Sm2 Pa2 As2'
_cell_length_a 3.636
_cell_length_b 3.636
_cell_length_c 11.825
_cell_angle_alpha 90.00
_cell_angle_beta 90.00
_cell_angle_gamma 90.00
_symmetry_space_group_name_H-M 'I 4 m m'
_symmetry_Int_Tables_number 107
_symmetry_space_group_name_Hall 'I 4 -2'
loop_
_atom_site_label
_atom_site_type_symbol
_atom_site_fract_x
_atom_site_fract_y
_atom_site_fract_z
_atom_site_occupancy
Sm1 Sm 0.000 0.000 0.000 1
Pa1 Pa 0.000 0.000 0.722 1
As1 As 0.000 0.000 0.349 1
# Energy of formation from the pure elements ... -125 kJ/mol of formula units
# Energy above the lowest structure with this stoichiometry ... 47 meV/atom


No. 5
# SrMnAg2 | the Alexandria database | GGA-PBE | optimized geometry
data_SrMnAg2
_chemical_formula_sum 'Sr4 Mn4 Ag8'
_cell_length_a 5.149
_cell_length_b 5.149
_cell_length_c 18.143
_cell_angle_alpha 90.00
_cell_angle_beta 90.00
_cell_angle_gamma 90.00
_symmetry_space_group_name_H-M 'I -4 2 d'
_symmetry_Int_Tables_number 122
_symmetry_space_group_name_Hall 'I -4 2bw'
loop_
_atom_site_label
_atom_site_type_symbol
_atom_site_fract_x
_atom_site_fract_y
_atom_site_fract_z
_atom_site_occupancy
Sr1 Sr 0.000 0.000 0.000 1
Mn1 Mn 0.000 0.000 0.500 1
Ag1 Ag 0.065 0.250 0.625 1
# Energy of formation from the pure elements ... 135 kJ/mol of formula units


No. 6
# K4MgPb | the Alexandria database | GGA-PBE | optimized geometry
data_K4MgPb
_chemical_formula_sum 'K16 Mg4 Pb4'
_cell_length_a 10.291
_cell_length_b 10.291
_cell_length_c 10.291
_cell_angle_alpha 90.00
_cell_angle_beta 90.00
_cell_angle_gamma 90.00
_symmetry_space_group_name_H-M 'F -4 3 m'
_symmetry_Int_Tables_number 216
_symmetry_space_group_name_Hall 'F -4 2 3'
loop_
_atom_site_label
_atom_site_type_symbol
_atom_site_fract_x
_atom_site_fract_y
_atom_site_fract_z
_atom_site_occupancy
K1 K 0.124 0.124 0.376 1
Mg1 Mg 0.000 0.000 0.000 1
Pb1 Pb 0.250 0.250 0.750 1
# Energy of formation from the pure elements ... 169 kJ/mol of formula units


No. 7
# La8Ho2Pb | the Alexandria database | GGA-PBE | optimized geometry
data_La8Ho2Pb
_chemical_formula_sum 'La16 Ho4 Pb2'
_cell_length_a 20.321
_cell_length_b 5.897
_cell_length_c 6.548
_cell_angle_alpha 90.00
_cell_angle_beta 96.02
_cell_angle_gamma 90.00
_symmetry_space_group_name_H-M 'C 1 2/m 1'
_symmetry_Int_Tables_number 12
loop_
_symmetry_equiv_pos_as_xyz
'x,y,z'
'-x,-y,-z'
'-x,y,-z'
'x,-y,z'
'x+1/2,y+1/2,z'
'-x+1/2,-y+1/2,-z'
'-x+1/2,y+1/2,-z'
'x+1/2,-y+1/2,z'
loop_
_atom_site_label
_atom_site_type_symbol
_atom_site_fract_x
_atom_site_fract_y
_atom_site_fract_z
_atom_site_occupancy
La1 La 0.043 0.000 0.253 1
La2 La 0.083 0.500 0.592 1
La3 La 0.159 0.000 0.787 1
La4 La 0.166 0.500 0.112 1
Ho1 Ho 0.238 0.000 0.345 1
Pb1 Pb 0.000 0.500 0.000 1
# Energy of formation from the pure elements ... -59 kJ/mol of formula units


No. 8
# Cs3ZrIr | the Alexandria database | GGA-PBE | optimized geometry
data_Cs3ZrIr
_chemical_formula_sum 'Cs3 Zr1 Ir1'
_cell_length_a 6.393
_cell_length_b 6.393
_cell_length_c 6.393
_cell_angle_alpha 90.00
_cell_angle_beta 90.00
_cell_angle_gamma 90.00
_symmetry_space_group_name_H-M 'P m -3 m'
_symmetry_Int_Tables_number 221
_symmetry_space_group_name_Hall '-P 4 2 3'
loop_
_atom_site_label
_atom_site_type_symbol
_atom_site_fract_x
_atom_site_fract_y
_atom_site_fract_z
_atom_site_occupancy
Cs1 Cs 0.000 0.000 0.500 1
Zr1 Zr 0.500 0.500 0.500 1
Ir1 Ir 0.000 0.000 0.000 1
# Energy of formation from the pure elements ... 712 kJ/mol of formula units
# Energy above the lowest structure with this stoichiometry ... 0 meV/atom


Going through the records in order, we get calculated volume values of 39.30; 38.08; 16.81; 26.06; 30.06; 45.41; 35.47; 52.27 Å³/atom.
Going through the records in order, we get energy values of -5.2592; -2.6495; -6.6411; -6.7217; -3.7887; -1.3231; -4.8087; -2.5177 eV/atom.
Going through the records in order, we get N(E_F) values of 16.95; 5.45; 5.06; 5.48; 2.46; 3.98; 17.96; 11.73 states/eV/f.u..